No. 1
Ag2SbIr: optimized geometry, GGA-PBE.

The calculation puts the total energy at -4.438 eV per atom. The raw formation energy is 0.23 eV/atom.

Structure (POSCAR):
```
Ag2SbIr
1.0
-3.258 0.441 -2.192
2.086 -0.799 -3.261
-0.947 -4.515 0.500
Sb Ir Ag
1 1 2
Cartesian
0.569 -2.657 -1.380 Sb
-2.103 -2.037 -0.846 Ir
0.000 0.000 0.000 Ag
-0.586 -0.179 -2.726 Ag
```

=====

No. 2
AgSb2Ir: optimized geometry, GGA-PBE.

The calculation puts the total energy at -4.843 eV per atom. The raw formation energy is 0.15 eV/atom. The excess energy over the best structure of this formula in the dataset comes out at 35 kJ/mol of formula units.

Structure (POSCAR):
```
AgSb2Ir
1.0
-1.950 -2.074 -1.420
0.648 -2.151 2.253
-6.525 2.933 4.678
Sb Ir Ag
2 1 1
Cartesian
-6.075 2.731 4.355 Sb
-2.510 -1.277 1.749 Sb
-5.578 0.102 3.949 Ir
-3.452 1.552 2.475 Ag
```

=====

No. 3
Ag2SbIr: optimized geometry, GGA-PBE.

The calculation puts the total energy at -4.470 eV per atom. The raw formation energy is 0.20 eV/atom.

Structure (POSCAR):
```
Ag2SbIr
1.0
-3.840 2.416 3.080
-2.786 -2.993 3.654
5.219 0.868 -1.442
Sb Ir Ag
1 1 2
Cartesian
-0.440 -1.207 2.789 Sb
-0.967 1.497 2.502 Ir
-0.002 0.000 0.002 Ag
-3.311 -0.288 3.365 Ag
```

=====

No. 4
Ag3SbIr: optimized geometry, GGA-PBE.

The calculation puts the total energy at -3.198 eV per atom. The raw formation energy is 1.11 eV/atom.

Structure (POSCAR):
```
Ag3SbIr
1.0
-3.641 -1.787 3.002
0.764 -4.638 -1.835
3.409 -0.870 3.618
Sb Ir Ag
1 1 3
Cartesian
0.266 -3.648 2.392 Sb
0.000 0.000 0.000 Ir
0.382 -2.319 -0.918 Ag
1.704 -0.435 1.809 Ag
-1.821 -0.894 1.501 Ag
```

=====

No. 5
Ag2SbIr: optimized geometry, GGA-PBE.

The calculation puts the total energy at -4.320 eV per atom. The raw formation energy is 0.35 eV/atom.

Structure (POSCAR):
```
Ag2SbIr
1.0
-2.822 -0.013 -1.366
-0.070 -4.333 0.184
-2.372 0.246 4.900
Sb Ir Ag
1 1 2
Cartesian
-3.225 -1.988 3.084 Sb
-2.039 -2.111 0.634 Ir
-0.018 0.002 0.038 Ag
-1.167 0.121 2.412 Ag
```

=====

No. 6
Ag2SbIr: optimized geometry, GGA-PBE.

The calculation puts the total energy at -4.326 eV per atom. The raw formation energy is 0.35 eV/atom.

Structure (POSCAR):
```
Ag2SbIr
1.0
5.136 -0.003 0.000
-2.279 4.602 0.000
0.000 0.000 3.125
Sb Ir Ag
1 1 2
Cartesian
-1.140 2.301 1.563 Sb
2.568 -0.001 1.563 Ir
0.000 0.000 0.000 Ag
1.428 2.300 0.000 Ag
```

=====

No. 7
AgSbIr2: optimized geometry, GGA-PBE.

The calculation puts the total energy at -5.897 eV per atom. The raw formation energy is 0.28 eV/atom.

Structure (POSCAR):
```
AgSbIr2
1.0
-2.576 -2.023 1.873
2.837 -3.047 0.610
1.185 1.825 3.601
Sb Ir Ag
1 2 1
Cartesian
0.130 -2.535 1.242 Sb
0.000 0.000 0.000 Ir
2.011 -0.611 2.106 Ir
-0.696 -0.099 2.737 Ag
```

=====

No. 8
AgSbIr2: optimized geometry, GGA-PBE.

The calculation puts the total energy at -5.597 eV per atom. The raw formation energy is 0.58 eV/atom.

Structure (POSCAR):
```
AgSbIr2
1.0
2.930 -0.001 0.000
-1.408 2.570 0.000
0.000 0.000 9.318
Sb Ir Ag
1 2 1
Cartesian
0.761 1.284 2.330 Sb
0.000 0.000 0.052 Ir
0.000 0.000 4.607 Ir
0.761 1.284 6.989 Ag
```

=====

No. 9
AgSbIr2: optimized geometry, GGA-PBE.

The calculation puts the total energy at -5.771 eV per atom. The raw formation energy is 0.40 eV/atom.

Structure (POSCAR):
```
AgSbIr2
1.0
-1.899 4.024 -7.539
-0.706 1.414 -8.610
-3.660 1.531 -7.804
Sb Ir Ag
1 2 1
Cartesian
-1.566 1.742 -5.988 Sb
-6.234 6.934 -23.835 Ir
-3.163 3.519 -12.095 Ir
-4.699 5.227 -17.965 Ag
```

=====

No. 10
AgSbIr2: optimized geometry, GGA-PBE.

The calculation puts the total energy at -5.837 eV per atom. The raw formation energy is 0.34 eV/atom.

Structure (POSCAR):
```
AgSbIr2
1.0
-0.565 -0.804 -4.605
2.405 -0.334 -4.035
0.828 -5.033 -0.161
Sb Ir Ag
1 2 1
Cartesian
2.001 -4.629 -6.601 Sb
0.828 -4.991 -0.195 Ir
1.334 -3.128 -4.366 Ir
0.667 -1.543 -2.200 Ag
```

=====

No. 11
AgSbIr2: optimized geometry, GGA-PBE.

The calculation puts the total energy at -5.862 eV per atom. The raw formation energy is 0.31 eV/atom.

Structure (POSCAR):
```
AgSbIr2
1.0
3.068 0.000 0.000
0.000 3.570 0.000
0.000 0.000 6.145
Sb Ir Ag
1 2 1
Cartesian
1.534 1.785 1.536 Sb
0.000 0.000 0.061 Ir
0.000 0.000 3.011 Ir
1.534 1.785 4.609 Ag
```

=====

No. 12
AgSb2Ir: optimized geometry, GGA-PBE.

The calculation puts the total energy at -4.780 eV per atom. The raw formation energy is 0.21 eV/atom. The excess energy over the best structure of this formula in the dataset comes out at 59 kJ/mol of formula units.

Structure (POSCAR):
```
AgSb2Ir
1.0
-2.240 1.034 4.172
0.190 4.495 1.804
-3.969 2.783 -0.005
Sb Ir Ag
2 1 1
Cartesian
-1.505 2.078 1.493 Sb
-4.515 6.234 4.479 Sb
-3.010 4.156 2.986 Ir
0.000 0.000 0.000 Ag
```

=====

Repeat the first record exactly.
Ag2SbIr: optimized geometry, GGA-PBE.

The calculation puts the total energy at -4.438 eV per atom. The raw formation energy is 0.23 eV/atom.

Structure (POSCAR):
```
Ag2SbIr
1.0
-3.258 0.441 -2.192
2.086 -0.799 -3.261
-0.947 -4.515 0.500
Sb Ir Ag
1 1 2
Cartesian
0.569 -2.657 -1.380 Sb
-2.103 -2.037 -0.846 Ir
0.000 0.000 0.000 Ag
-0.586 -0.179 -2.726 Ag
```

=====

- Look up the raw formation energy of the sixth one.
  0.35 eV/atom

=====

What did the eleventh record say?
AgSbIr2: optimized geometry, GGA-PBE.

The calculation puts the total energy at -5.862 eV per atom. The raw formation energy is 0.31 eV/atom.

Structure (POSCAR):
```
AgSbIr2
1.0
3.068 0.000 0.000
0.000 3.570 0.000
0.000 0.000 6.145
Sb Ir Ag
1 2 1
Cartesian
1.534 1.785 1.536 Sb
0.000 0.000 0.061 Ir
0.000 0.000 3.011 Ir
1.534 1.785 4.609 Ag
```

=====

- raw formation energy of number 6 (Ag2SbIr)?
  0.35 eV/atom